Record 1
Ca8P5Cl | PBE | optimized geometry

Cell: 7.5966 7.5966 7.5966 Å, 109.47 109.47 109.47°
Closest atoms and distances in Å follow each position.
Atoms (fractional coordinates):
Ca  0.0197  0.1230  0.7579  5 P 2.86-3.18, 1 Cl 2.98
Ca  0.2636  0.5021  0.6214  4 P 2.82-3.13
Ca  0.3577  0.7364  0.2384  4 P 2.82-3.13
Ca  0.3651  0.2619  0.2421  5 P 2.86-3.18, 1 Cl 2.98
Ca  0.4979  0.1193  0.7616  4 P 2.82-3.13
Ca  0.7381  0.9803  0.1032  5 P 2.86-3.18, 1 Cl 2.98
Ca  0.8770  0.6349  0.8968  5 P 2.86-3.18, 1 Cl 2.98
Ca  0.8807  0.6423  0.3786  4 P 2.82-3.13
P  0.1305  0.0154  0.3824  5 Ca 2.82-3.13
P  0.2520  0.8695  0.8849  5 Ca 2.82-3.13
P  0.5000  0.5000  0.0000  8 Ca 2.85-3.15
P  0.6330  0.7480  0.6176  5 Ca 2.82-3.13
P  0.9846  0.3670  0.1151  5 Ca 2.82-3.13
Cl  0.7500  0.2500  0.5000  4 Ca 2.98

Output
Formation energy from raw total energies = -1291 meV/atom
Mass density = 2514 kg/m³



Record 2
Zr3Al | PBE | optimized geometry

Cell: 4.3845 4.3845 4.3845 Å, 90.00 90.00 90.00°
Closest atoms and distances in Å follow each position.
Atoms (fractional coordinates):
Zr  0.0000  0.0000  0.5000  8 Zr 3.10, 4 Al 3.10
Zr  0.0000  0.5000  0.0000  8 Zr 3.10, 4 Al 3.10
Zr  0.5000  0.0000  0.0000  8 Zr 3.10, 4 Al 3.10
Al  0.5000  0.5000  0.5000  12 Zr 3.10

Output
Mass density = 5923 kg/m³
ΔH_f (0 K) = -114 kJ/mol of formula units



Record 3
Pr2ThC2Br2 | PBE | optimized geometry

Cell: 8.5390 8.5390 8.5390 Å, 147.62 147.62 46.45°
Closest atoms and distances in Å follow each position.
Atoms (fractional coordinates):
Pr  0.0994  0.0994  0.0000  4 C 2.85, 1 Pr 3.12
Pr  0.9006  0.9006  0.0000  4 C 2.85, 1 Pr 3.12
Th  0.5000  0.5000  0.0000  4 C 2.38
C  0.0000  0.5000  0.5000  2 Th 2.38
C  0.5000  0.0000  0.5000  2 Th 2.38
Br  0.3050  0.3050  0.0000  1 Th 3.06, 1 Pr 3.23
Br  0.6950  0.6950  0.0000  1 Th 3.06, 1 Pr 3.23

Output
Formation energy from raw total energies = -604 meV/atom
Mass density = 6511 kg/m³



Record 4
SrYPb | PBE | optimized geometry

Cell: 7.9815 7.9815 7.9815 Å, 153.01 153.01 38.54°
Closest atoms and distances in Å follow each position.
Atoms (fractional coordinates):
Sr  0.0000  0.0000  0.0000  4 Pb 3.58, 4 Sr 3.72
Y  0.7036  0.7036  0.0000  4 Pb 3.33, 4 Y 3.72
Pb  0.3387  0.3387  0.0000  4 Y 3.33, 4 Sr 3.58, 4 Pb 3.72

Output
Mass density = 6095 kg/m³
ΔH_f (0 K) = -79 kJ/mol of formula units



Raw total energy per entry: -4.499; -7.642; -6.143; -4.224 eV/atom